# Ce2Co5Cu5 (PBE-GGA, relaxed)
data_Ce2Co5Cu5
_chemical_formula_sum 'Ce2 Co5 Cu5'
_cell_length_a 4.119
_cell_length_b 4.880
_cell_length_c 8.536
_cell_angle_alpha 90.00
_cell_angle_beta 90.00
_cell_angle_gamma 90.00
_space_group_name_H-M_alt 'P m m m'
_space_group_IT_number 47
loop_
_space_group_symop_operation_xyz
'x,y,z'
'-x,-y,-z'
'-x,-y,z'
'x,y,-z'
'x,-y,-z'
'-x,y,z'
'-x,y,-z'
'x,-y,z'
loop_
_atom_site_label
_atom_site_fract_x
_atom_site_fract_y
_atom_site_fract_z
Ce1 0.000 0.000 0.000
Ce2 0.000 0.500 0.500
Co1 0.000 0.000 0.341
Co2 0.000 0.500 0.152
Co3 0.500 0.500 0.000
Cu1 0.500 0.000 0.500
Cu2 0.500 0.250 0.249
# Energy of formation from the pure elements: -0.081 eV/atom



# Ce6Co2Cu (PBE-GGA, relaxed)
data_Ce6Co2Cu
_chemical_formula_sum 'Ce24 Co8 Cu4'
_cell_length_a 9.019
_cell_length_b 9.498
_cell_length_c 9.668
_cell_angle_alpha 90.00
_cell_angle_beta 90.00
_cell_angle_gamma 90.00
_space_group_name_H-M_alt 'I m m m'
_space_group_IT_number 71
_space_group_name_Hall '-I 2 2'
loop_
_atom_site_label
_atom_site_fract_x
_atom_site_fract_y
_atom_site_fract_z
Ce1 0.000 0.190 0.247
Ce2 0.188 0.500 0.151
Ce3 0.202 0.325 0.500
Co1 0.000 0.276 0.000
Co2 0.000 0.500 0.353
Cu1 0.000 0.000 0.000
Cu2 0.000 0.000 0.500
# Energy of formation from the pure elements: -0.068 eV/atom



# Ce3Co2Cu (PBE-GGA, relaxed)
data_Ce3Co2Cu
_chemical_formula_sum 'Ce12 Co8 Cu4'
_cell_length_a 5.963
_cell_length_b 10.877
_cell_length_c 8.204
_cell_angle_alpha 90.00
_cell_angle_beta 111.28
_cell_angle_gamma 90.00
_space_group_name_H-M_alt 'P 1 21/c 1'
_space_group_IT_number 14
loop_
_space_group_symop_operation_xyz
'x,y,z'
'-x,-y,-z'
'-x,y+1/2,-z+1/2'
'x,-y+1/2,z+1/2'
loop_
_atom_site_label
_atom_site_fract_x
_atom_site_fract_y
_atom_site_fract_z
Ce1 0.170 0.229 0.343
Ce2 0.237 0.584 0.977
Ce3 0.303 0.542 0.596
Co1 0.141 0.507 0.308
Co2 0.312 0.141 0.634
Cu1 0.385 0.701 0.311
# Energy of formation from the pure elements: -0.172 eV/atom



# Ce2Co5Cu5 (PBE-GGA, relaxed)
data_Ce2Co5Cu5
_chemical_formula_sum 'Ce2 Co5 Cu5'
_cell_length_a 4.036
_cell_length_b 4.941
_cell_length_c 8.718
_cell_angle_alpha 90.00
_cell_angle_beta 90.00
_cell_angle_gamma 90.00
_space_group_name_H-M_alt 'P m m m'
_space_group_IT_number 47
loop_
_space_group_symop_operation_xyz
'x,y,z'
'-x,-y,-z'
'-x,-y,z'
'x,y,-z'
'x,-y,-z'
'-x,y,z'
'-x,y,-z'
'x,-y,z'
loop_
_atom_site_label
_atom_site_fract_x
_atom_site_fract_y
_atom_site_fract_z
Ce1 0.000 0.000 0.000
Ce2 0.000 0.500 0.500
Co1 0.500 0.000 0.500
Co2 0.500 0.252 0.256
Cu1 0.000 0.000 0.332
Cu2 0.000 0.500 0.170
Cu3 0.500 0.500 0.000
# Energy of formation from the pure elements: -0.081 eV/atom



# CeCoCu (PBE-GGA, relaxed)
data_CeCoCu
_chemical_formula_sum 'Ce16 Co16 Cu16'
_cell_length_a 7.887
_cell_length_b 10.331
_cell_length_c 10.522
_cell_angle_alpha 90.00
_cell_angle_beta 90.00
_cell_angle_gamma 90.00
_space_group_name_H-M_alt 'F d d d'
_space_group_IT_number 70
loop_
_space_group_symop_operation_xyz
'x,y,z'
'-x,-y,-z'
'-x+1/4,-y+1/4,z'
'x+1/4,y+1/4,-z'
'x,-y+1/4,-z+1/4'
'-x,y+1/4,z+1/4'
'-x+1/4,y,-z+1/4'
'x+1/4,-y,z+1/4'
'x,y+1/2,z+1/2'
'-x,-y+1/2,-z+1/2'
'-x+1/4,-y+3/4,z+1/2'
'x+1/4,y+3/4,-z+1/2'
'x,-y+3/4,-z+3/4'
'-x,y+3/4,z+3/4'
'-x+1/4,y+1/2,-z+3/4'
'x+1/4,-y+1/2,z+3/4'
'x+1/2,y,z+1/2'
'-x+1/2,-y,-z+1/2'
'-x+3/4,-y+1/4,z+1/2'
'x+3/4,y+1/4,-z+1/2'
'x+1/2,-y+1/4,-z+3/4'
'-x+1/2,y+1/4,z+3/4'
'-x+3/4,y,-z+3/4'
'x+3/4,-y,z+3/4'
'x+1/2,y+1/2,z'
'-x+1/2,-y+1/2,-z'
'-x+3/4,-y+3/4,z'
'x+3/4,y+3/4,-z'
'x+1/2,-y+3/4,-z+1/4'
'-x+1/2,y+3/4,z+1/4'
'-x+3/4,y+1/2,-z+1/4'
'x+3/4,-y+1/2,z+1/4'
loop_
_atom_site_label
_atom_site_fract_x
_atom_site_fract_y
_atom_site_fract_z
Ce1 0.000 0.000 0.000
Co1 0.125 0.125 0.417
Cu1 0.125 0.008 0.625
# Energy of formation from the pure elements: 0.071 eV/atom



# CeDyCoCu (PBE-GGA, relaxed)
data_CeDyCoCu
_chemical_formula_sum 'Ce4 Dy4 Co4 Cu4'
_cell_length_a 6.842
_cell_length_b 6.842
_cell_length_c 6.842
_cell_angle_alpha 90.00
_cell_angle_beta 90.00
_cell_angle_gamma 90.00
_space_group_name_H-M_alt 'F -4 3 m'
_space_group_IT_number 216
_space_group_name_Hall 'F -4 2 3'
loop_
_atom_site_label
_atom_site_fract_x
_atom_site_fract_y
_atom_site_fract_z
Ce1 0.000 0.000 0.000
Dy1 0.000 0.000 0.500
Co1 0.250 0.250 0.250
Cu1 0.250 0.250 0.750
# Energy of formation from the pure elements: -0.122 eV/atom



# CeErCoCu (PBE-GGA, relaxed)
data_CeErCoCu
_chemical_formula_sum 'Ce4 Er4 Co4 Cu4'
_cell_length_a 6.811
_cell_length_b 6.811
_cell_length_c 6.811
_cell_angle_alpha 90.00
_cell_angle_beta 90.00
_cell_angle_gamma 90.00
_space_group_name_H-M_alt 'F -4 3 m'
_space_group_IT_number 216
_space_group_name_Hall 'F -4 2 3'
loop_
_atom_site_label
_atom_site_fract_x
_atom_site_fract_y
_atom_site_fract_z
Ce1 0.000 0.000 0.000
Er1 0.000 0.000 0.500
Co1 0.250 0.250 0.250
Cu1 0.250 0.250 0.750
# Energy of formation from the pure elements: -0.143 eV/atom



# CeGa3CoCu (PBE-GGA, relaxed)
data_CeGa3CoCu
_chemical_formula_sum 'Ce4 Ga12 Co4 Cu4'
_cell_length_a 5.936
_cell_length_b 11.740
_cell_length_c 5.974
_cell_angle_alpha 90.00
_cell_angle_beta 90.00
_cell_angle_gamma 90.00
_space_group_name_H-M_alt 'C m c m'
_space_group_IT_number 63
_space_group_name_Hall '-C 2c 2'
loop_
_atom_site_label
_atom_site_fract_x
_atom_site_fract_y
_atom_site_fract_z
Ce1 0.000 0.229 0.250
Ga1 0.000 0.359 0.750
Ga2 0.218 0.000 0.000
Co1 0.000 0.412 0.250
Cu1 0.000 0.143 0.750
# Energy of formation from the pure elements: -0.274 eV/atom



| no. | theoretical density (g/cm3) |
| --- | --- |
| 1 | 8.64 |
| 2 | 8.20 |
| 3 | 8.06 |
| 4 | 8.53 |
| 5 | 8.14 |
| 6 | 8.82 |
| 7 | 9.04 |
| 8 | 7.53 |